*1*
TcTe3Br: relaxed, PBE-GGA.

POSCAR file:
```
TcTe3Br
1.0
5.249 0.000 0.000
0.000 5.249 0.000
0.000 0.000 5.249
Tc Te Br
1 3 1
direct
0.000 0.000 0.000
0.000 0.000 0.500
0.000 0.500 0.000
0.500 0.000 0.000
0.500 0.500 0.500
```

DOS at the Fermi energy: 5.8 states/eV per cell
Total magnetization: 0.0 μB per cell

---

*2*
TcTe3Br: relaxed, PBE-GGA.

POSCAR file:
```
TcTe3Br
1.0
5.539 0.000 0.000
0.000 5.539 0.000
0.000 0.000 5.539
Tc Te Br
1 3 1
direct
0.000 0.000 0.000
0.000 0.500 0.500
0.500 0.000 0.500
0.500 0.500 0.000
0.500 0.500 0.500
```

DOS at the Fermi energy: 4.0 states/eV per cell
Total magnetization: 4.6 μB per cell

---

Q: Which of them is the least stable? A: *2*.

---

*1*
TcTe4Br: relaxed, PBE-GGA.

POSCAR file:
```
TcTe4Br
1.0
0.000 4.459 4.459
4.459 0.000 4.459
4.459 4.459 0.000
Tc Te Br
1 4 1
direct
0.000 0.000 0.000
0.124 0.625 0.625
0.625 0.124 0.625
0.625 0.625 0.124
0.625 0.625 0.625
0.250 0.250 0.250
```

DOS at the Fermi energy: 5.3 states/eV per cell
Total magnetization: 4.4 μB per cell

---

*2*
TcTe4Br: relaxed, PBE-GGA.

POSCAR file:
```
TcTe4Br
1.0
4.434 -6.911 0.000
4.434 6.911 0.000
-2.917 0.000 6.613
Tc Te Br
2 8 2
direct
0.001 0.999 0.750
0.999 0.001 0.250
0.076 0.777 0.462
0.162 0.300 0.113
0.223 0.924 0.038
0.300 0.162 0.613
0.700 0.838 0.387
0.777 0.076 0.962
0.838 0.700 0.887
0.924 0.223 0.538
0.400 0.600 0.750
0.600 0.400 0.250
```

DOS at the Fermi energy: 3.8 states/eV per cell
Total magnetization: 0.0 μB per cell

---

Q: Which of them is the least stable? A: *1*.

---

*1*
Tc3TeBr: relaxed, PBE-GGA.

POSCAR file:
```
Tc3TeBr
1.0
5.030 0.000 0.000
0.000 5.030 0.000
0.000 0.000 5.030
Tc Te Br
3 1 1
direct
0.000 0.000 0.500
0.000 0.500 0.000
0.500 0.000 0.000
0.000 0.000 0.000
0.500 0.500 0.500
```

DOS at the Fermi energy: 7.2 states/eV per cell
Total magnetization: 7.0 μB per cell

---

*2*
Tc3TeBr: relaxed, PBE-GGA.

POSCAR file:
```
Tc3TeBr
1.0
4.625 0.000 0.000
0.000 4.625 0.000
0.000 0.000 4.625
Tc Te Br
3 1 1
direct
0.000 0.000 0.500
0.000 0.500 0.000
0.500 0.000 0.000
0.500 0.500 0.500
0.000 0.000 0.000
```

DOS at the Fermi energy: 6.8 states/eV per cell
Total magnetization: 0.6 μB per cell

---

Q: Which of them is the least stable? A: *1*.

---

*1*
Th2TcBr: relaxed, PBE-GGA.

POSCAR file:
```
Th2TcBr
1.0
2.073 1.197 7.960
-2.073 1.197 7.960
0.000 -2.394 7.960
Th Tc Br
2 1 1
direct
0.228 0.228 0.228
0.772 0.772 0.772
0.500 0.500 0.500
0.000 0.000 0.000
```

DOS at the Fermi energy: 1.2 states/eV per cell
Total magnetization: 0.0 μB per cell

---

*2*
Th2TcBr: relaxed, PBE-GGA.

POSCAR file:
```
Th2TcBr
1.0
2.056 1.187 8.091
-2.056 1.187 8.091
0.000 -2.374 8.091
Th Tc Br
2 1 1
direct
0.000 0.000 0.000
0.210 0.210 0.210
0.606 0.606 0.606
0.436 0.436 0.436
```

DOS at the Fermi energy: 1.4 states/eV per cell
Total magnetization: 0.0 μB per cell

---

*3*
Th2TcBr: relaxed, PBE-GGA.

POSCAR file:
```
Th2TcBr
1.0
3.444 0.000 0.000
0.000 3.444 0.000
0.000 0.000 8.514
Th Tc Br
2 1 1
direct
0.000 0.000 0.213
0.000 0.000 0.787
0.500 0.500 0.000
0.500 0.500 0.500
```

DOS at the Fermi energy: 3.7 states/eV per cell
Total magnetization: 0.0 μB per cell

---

Q: Which of them is the least stable? A: *3*.

---

*1*
TiTc3Br: relaxed, PBE-GGA.

POSCAR file:
```
TiTc3Br
1.0
4.660 0.000 0.000
0.000 4.660 0.000
0.000 0.000 4.660
Ti Tc Br
1 3 1
direct
0.000 0.000 0.000
0.000 0.000 0.500
0.000 0.500 0.000
0.500 0.000 0.000
0.500 0.500 0.500
```

DOS at the Fermi energy: 7.0 states/eV per cell
Total magnetization: 3.5 μB per cell

---

*2*
TiTc3Br: relaxed, PBE-GGA.

POSCAR file:
```
TiTc3Br
1.0
4.510 0.000 0.000
0.000 4.510 0.000
0.000 0.000 4.510
Ti Tc Br
1 3 1
direct
0.000 0.000 0.000
0.000 0.500 0.500
0.500 0.000 0.500
0.500 0.500 0.000
0.500 0.500 0.500
```

DOS at the Fermi energy: 6.1 states/eV per cell
Total magnetization: 0.0 μB per cell

---

Q: Which of them is the least stable? A: *1*.

---

*1*
Ti2TcBr: relaxed, PBE-GGA.

POSCAR file:
```
Ti2TcBr
1.0
-2.862 2.862 5.845
2.862 -2.862 5.845
2.862 2.862 -5.845
Ti Tc Br
4 2 2
direct
0.079 0.625 0.954
0.375 0.329 0.454
0.671 0.125 0.046
0.875 0.921 0.546
0.000 0.000 0.000
0.750 0.250 0.500
0.250 0.750 0.500
0.500 0.500 0.000
```

DOS at the Fermi energy: 9.2 states/eV per cell
Total magnetization: 0.0 μB per cell

---

*2*
Ti2TcBr: relaxed, PBE-GGA.

POSCAR file:
```
Ti2TcBr
1.0
0.000 3.207 3.207
3.207 0.000 3.207
3.207 3.207 0.000
Ti Tc Br
2 1 1
direct
0.250 0.250 0.250
0.750 0.750 0.750
0.000 0.000 0.000
0.500 0.500 0.500
```

DOS at the Fermi energy: 4.7 states/eV per cell
Total magnetization: 0.0 μB per cell

---

Q: Which of them is the least stable? A: *1*.

---

*1*
TlTc2Br: relaxed, PBE-GGA.

POSCAR file:
```
TlTc2Br
1.0
0.000 3.284 3.284
3.284 0.000 3.284
3.284 3.284 0.000
Tl Tc Br
1 2 1
direct
0.000 0.000 0.000
0.250 0.250 0.250
0.750 0.750 0.750
0.500 0.500 0.500
```

DOS at the Fermi energy: 5.9 states/eV per cell
Total magnetization: 0.0 μB per cell

---

*2*
TlTc2Br: relaxed, PBE-GGA.

POSCAR file:
```
TlTc2Br
1.0
3.216 0.000 0.000
0.000 3.216 0.000
0.000 0.000 6.723
Tl Tc Br
1 2 1
direct
0.000 0.000 0.000
0.500 0.500 0.271
0.500 0.500 0.729
0.000 0.000 0.500
```

DOS at the Fermi energy: 5.2 states/eV per cell
Total magnetization: 0.8 μB per cell

---

*3*
TlTc2Br: relaxed, PBE-GGA.

POSCAR file:
```
TlTc2Br
1.0
4.404 -1.517 0.000
4.404 1.517 0.000
-1.454 0.000 5.645
Tl Tc Br
1 2 1
direct
0.000 0.000 0.000
0.253 0.253 0.689
0.747 0.747 0.311
0.500 0.500 0.500
```

DOS at the Fermi energy: 4.7 states/eV per cell
Total magnetization: 0.0 μB per cell

---

Q: Which of them is the least stable? A: *1*.

---

*1*
TlTc2Br: relaxed, PBE-GGA.

POSCAR file:
```
TlTc2Br
1.0
1.522 0.879 10.361
-1.522 0.879 10.361
0.000 -1.758 10.361
Tl Tc Br
1 2 1
direct
0.000 0.000 0.000
0.477 0.477 0.477
0.747 0.747 0.747
0.208 0.208 0.208
```

DOS at the Fermi energy: 4.7 states/eV per cell
Total magnetization: 0.0 μB per cell

---

*2*
TlTc2Br: relaxed, PBE-GGA.

POSCAR file:
```
TlTc2Br
1.0
-1.697 2.420 5.736
1.697 -2.420 5.736
1.697 2.420 -5.736
Tl Tc Br
1 2 1
direct
0.000 0.000 0.000
0.504 0.504 0.000
0.642 0.142 0.500
0.278 0.778 0.500
```

DOS at the Fermi energy: 4.1 states/eV per cell
Total magnetization: 0.5 μB per cell

---

*3*
TlTc2Br: relaxed, PBE-GGA.

POSCAR file:
```
TlTc2Br
1.0
3.788 0.000 0.000
0.000 4.830 0.000
-0.461 0.000 5.424
Tl Tc Br
1 2 1
direct
0.000 0.000 0.000
0.307 0.500 0.136
0.693 0.500 0.864
0.500 0.000 0.500
```

DOS at the Fermi energy: 3.1 states/eV per cell
Total magnetization: 0.0 μB per cell

---

Q: Which of them is the least stable? A: *3*.

---

*1*
TlTc2Br: relaxed, PBE-GGA.

POSCAR file:
```
TlTc2Br
1.0
0.000 3.360 3.360
3.360 0.000 3.360
3.360 3.360 0.000
Tl Tc Br
1 2 1
direct
0.000 0.000 0.000
0.250 0.250 0.250
0.500 0.500 0.500
0.750 0.750 0.750
```

DOS at the Fermi energy: 3.5 states/eV per cell
Total magnetization: 1.9 μB per cell

---

*2*
TlTc2Br: relaxed, PBE-GGA.

POSCAR file:
```
TlTc2Br
1.0
1.544 0.891 8.623
-1.544 0.891 8.623
0.000 -1.783 8.623
Tl Tc Br
1 2 1
direct
0.000 0.000 0.000
0.245 0.245 0.245
0.755 0.755 0.755
0.500 0.500 0.500
```

DOS at the Fermi energy: 5.1 states/eV per cell
Total magnetization: 1.0 μB per cell

---

Q: Which of them is the least stable? A: *1*.

---

*1*
TlTc2Br: relaxed, PBE-GGA.

POSCAR file:
```
TlTc2Br
1.0
3.065 0.000 0.000
0.000 3.065 0.000
0.000 0.000 8.478
Tl Tc Br
1 2 1
direct
0.000 0.000 0.000
0.000 0.000 0.577
0.500 0.500 0.750
0.500 0.500 0.353
```

DOS at the Fermi energy: 2.7 states/eV per cell
Total magnetization: 0.0 μB per cell

---

*2*
TlTc2Br: relaxed, PBE-GGA.

POSCAR file:
```
TlTc2Br
1.0
3.015 0.000 0.000
0.000 4.747 0.000
0.000 0.000 5.289
Tl Tc Br
1 2 1
direct
0.000 0.000 0.000
0.000 0.500 0.500
0.500 0.500 0.000
0.500 0.000 0.500
```

DOS at the Fermi energy: 4.1 states/eV per cell
Total magnetization: 2.2 μB per cell

---

*3*
TlTc2Br: relaxed, PBE-GGA.

POSCAR file:
```
TlTc2Br
1.0
-2.118 2.118 4.083
2.118 -2.118 4.083
2.118 2.118 -4.083
Tl Tc Br
1 2 1
direct
0.000 0.000 0.000
0.500 0.500 0.000
0.750 0.250 0.500
0.250 0.750 0.500
```

DOS at the Fermi energy: 4.6 states/eV per cell
Total magnetization: 0.0 μB per cell

---

Q: Which of them is the least stable? A: *3*.

---

*1*
TlTc2Br: relaxed, PBE-GGA.

POSCAR file:
```
TlTc2Br
1.0
1.515 -2.725 0.000
1.515 2.725 0.000
0.000 0.000 9.158
Tl Tc Br
1 2 1
direct
0.000 0.000 0.000
0.500 0.500 0.261
0.500 0.500 0.739
0.000 0.000 0.500
```

DOS at the Fermi energy: 3.9 states/eV per cell
Total magnetization: 2.3 μB per cell

---

*2*
TlTc2Br: relaxed, PBE-GGA.

POSCAR file:
```
TlTc2Br
1.0
4.680 0.000 0.000
0.000 4.680 0.000
0.000 0.000 3.230
Tl Tc Br
1 2 1
direct
0.000 0.000 0.000
0.000 0.500 0.500
0.500 0.000 0.500
0.500 0.500 0.000
```

DOS at the Fermi energy: 5.5 states/eV per cell
Total magnetization: 0.9 μB per cell

---

*3*
TlTc2Br: relaxed, PBE-GGA.

POSCAR file:
```
TlTc2Br
1.0
3.547 -2.025 0.000
3.547 2.025 0.000
-3.237 0.000 7.169
Tl Tc Br
1 2 1
direct
0.000 0.000 0.000
0.191 0.191 0.677
0.542 0.542 0.727
0.558 0.558 0.400
```

DOS at the Fermi energy: 3.2 states/eV per cell
Total magnetization: 0.0 μB per cell

---

Q: Which of them is the least stable? A: *2*.

---

*1*
TlTc2Br: relaxed, PBE-GGA.

POSCAR file:
```
TlTc2Br
1.0
-3.634 3.634 2.971
3.634 -3.634 2.971
3.634 3.634 -2.971
Tl Tc Br
2 4 2
direct
0.000 0.000 0.000
0.750 0.250 0.500
0.188 0.625 0.063
0.375 0.438 0.563
0.562 0.125 0.937
0.875 0.812 0.437
0.250 0.750 0.500
0.500 0.500 0.000
```

DOS at the Fermi energy: 9.2 states/eV per cell
Total magnetization: 0.0 μB per cell

---

*2*
TlTc2Br: relaxed, PBE-GGA.

POSCAR file:
```
TlTc2Br
1.0
-1.503 2.651 4.621
1.503 -2.651 4.621
1.503 2.651 -4.621
Tl Tc Br
1 2 1
direct
0.000 0.000 0.000
0.269 0.769 0.500
0.731 0.231 0.500
0.500 0.500 0.000
```

DOS at the Fermi energy: 5.5 states/eV per cell
Total magnetization: 0.0 μB per cell

---

Q: Which of them is the least stable? A: *1*.